An optimized crystal structure of KCaSbI2, computed with GGA-PBEsol. Values from VASP.

Properties
Energy relative to the elements, uncorrected (eV/atom): -0.7498
Space group: P4/mmm

The structure in Quantum ESPRESSO input format:
```
&SYSTEM
  ibrav = 0, nat = 5, ntyp = 4
/
ATOMIC_SPECIES
I 126.90 I.upf
Sb 121.76 Sb.upf
Ca 40.08 Ca.upf
K 39.10 K.upf
CELL_PARAMETERS angstrom
6.072 0.000 0.000
0.000 6.072 0.000
0.000 0.000 6.137
ATOMIC_POSITIONS angstrom
I 0.000 3.036 0.000
I 3.036 0.000 0.000
Sb 0.000 0.000 3.069
Ca 0.000 0.000 0.000
K 3.036 3.036 3.069
```

An optimized crystal structure of Ca2LaNbI, computed with GGA-PBEsol. Values from VASP.

Properties
Energy relative to the elements, uncorrected (eV/atom): 0.8895
Space group: P4/mmm

The structure in Quantum ESPRESSO input format:
```
&SYSTEM
  ibrav = 0, nat = 5, ntyp = 4
/
ATOMIC_SPECIES
I 126.90 I.upf
Nb 92.91 Nb.upf
Ca 40.08 Ca.upf
La 138.91 La.upf
CELL_PARAMETERS angstrom
-3.449 3.361 -0.102
-4.287 -4.395 0.133
0.000 0.186 6.138
ATOMIC_POSITIONS angstrom
I -3.868 -0.424 3.085
Nb -1.724 1.681 -0.051
Ca 0.000 0.093 3.069
Ca -2.144 -2.197 0.067
La 0.000 0.000 0.000
```

An optimized crystal structure of Li2Ca2I, computed with GGA-PBEsol. Values from VASP.

Properties
Energy relative to the elements, uncorrected (eV/atom): -0.3228
Space group: I4/mmm

The structure in Quantum ESPRESSO input format:
```
&SYSTEM
  ibrav = 0, nat = 5, ntyp = 3
/
ATOMIC_SPECIES
I 126.90 I.upf
Ca 40.08 Ca.upf
Li 6.94 Li.upf
CELL_PARAMETERS angstrom
-0.071 -0.099 3.865
3.755 -0.922 0.046
0.468 9.936 -1.670
ATOMIC_POSITIONS angstrom
I 0.000 0.000 0.000
Ca 1.804 7.360 0.223
Ca 2.348 1.555 2.018
Li 3.033 4.252 0.165
Li 1.119 4.663 2.075
```

An optimized crystal structure of LiCaI3, computed with GGA-PBEsol. Values from VASP.

Properties
Energy relative to the elements, uncorrected (eV/atom): -1.0567
Space group: Pm-3m

The structure in Quantum ESPRESSO input format:
```
&SYSTEM
  ibrav = 0, nat = 5, ntyp = 3
/
ATOMIC_SPECIES
I 126.90 I.upf
Ca 40.08 Ca.upf
Li 6.94 Li.upf
CELL_PARAMETERS angstrom
5.437 0.000 0.000
0.000 5.437 0.000
0.000 0.000 5.437
ATOMIC_POSITIONS angstrom
I 0.000 2.719 0.000
I 0.000 0.000 2.719
I 2.719 0.000 0.000
Ca 2.719 2.719 2.719
Li 0.000 0.000 0.000
```

An optimized crystal structure of Li3CaI, computed with GGA-PBEsol. Values from VASP.

Properties
Energy relative to the elements, uncorrected (eV/atom): -0.1696
Space group: Pm-3m

The structure in Quantum ESPRESSO input format:
```
&SYSTEM
  ibrav = 0, nat = 5, ntyp = 3
/
ATOMIC_SPECIES
I 126.90 I.upf
Ca 40.08 Ca.upf
Li 6.94 Li.upf
CELL_PARAMETERS angstrom
-0.364 4.624 2.706
-5.149 0.448 -1.457
-1.480 -2.694 4.404
ATOMIC_POSITIONS angstrom
I 0.000 0.000 0.000
Ca -3.497 1.189 2.827
Li -2.575 0.224 -0.728
Li -0.740 -1.347 2.202
Li -0.182 2.312 1.353
```

An optimized crystal structure of CaMgI2, computed with GGA-PBEsol. Values from VASP.

Properties
Energy relative to the elements, uncorrected (eV/atom): -0.7535
Space group: Fm-3m

The structure in Quantum ESPRESSO input format:
```
&SYSTEM
  ibrav = 0, nat = 4, ntyp = 3
/
ATOMIC_SPECIES
I 126.90 I.upf
Ca 40.08 Ca.upf
Mg 24.30 Mg.upf
CELL_PARAMETERS angstrom
5.559 0.000 0.000
2.779 4.814 0.000
2.779 1.605 4.539
ATOMIC_POSITIONS angstrom
I 2.779 1.605 1.135
I 8.338 4.814 3.404
Ca 5.559 3.209 2.269
Mg 0.000 0.000 0.000
```

An optimized crystal structure of CaMnIN2, computed with GGA-PBEsol. Values from VASP.

Properties
Energy relative to the elements, uncorrected (eV/atom): 1.4167
Space group: P4/mmm

The structure in Quantum ESPRESSO input format:
```
&SYSTEM
  ibrav = 0, nat = 5, ntyp = 4
/
ATOMIC_SPECIES
I 126.90 I.upf
Ca 40.08 Ca.upf
Mn 54.94 Mn.upf
N 14.01 N.upf
CELL_PARAMETERS angstrom
4.393 0.000 0.000
0.000 4.393 0.000
0.000 0.000 6.022
ATOMIC_POSITIONS angstrom
I 0.000 0.000 3.011
Ca 0.000 0.000 0.000
Mn 2.197 2.197 3.011
N 0.000 2.197 0.000
N 2.197 0.000 0.000
```

An optimized crystal structure of CaMn2RuI, computed with GGA-PBEsol. Values from VASP.

Properties
Energy relative to the elements, uncorrected (eV/atom): 1.9481
Space group: P4/mmm

The structure in Quantum ESPRESSO input format:
```
&SYSTEM
  ibrav = 0, nat = 5, ntyp = 4
/
ATOMIC_SPECIES
I 126.90 I.upf
Ru 101.07 Ru.upf
Ca 40.08 Ca.upf
Mn 54.94 Mn.upf
CELL_PARAMETERS angstrom
-2.696 3.614 0.667
-1.467 -0.187 -4.917
-3.871 -3.123 1.273
ATOMIC_POSITIONS angstrom
I -4.017 0.152 -1.488
Ru -1.348 1.807 0.333
Ca 0.000 0.000 0.000
Mn -1.936 -1.562 0.637
Mn -0.733 -0.093 -2.458
```

An optimized crystal structure of CaTa2MnI, computed with GGA-PBEsol. Values from VASP.

Properties
Energy relative to the elements, uncorrected (eV/atom): 0.7241
Space group: P4/mmm

The structure in Quantum ESPRESSO input format:
```
&SYSTEM
  ibrav = 0, nat = 5, ntyp = 4
/
ATOMIC_SPECIES
I 126.90 I.upf
Ca 40.08 Ca.upf
Mn 54.94 Mn.upf
Ta 180.95 Ta.upf
CELL_PARAMETERS angstrom
4.518 0.000 0.000
0.000 4.518 0.000
0.000 0.000 5.712
ATOMIC_POSITIONS angstrom
I 2.259 2.259 2.856
Ca 0.000 0.000 2.856
Mn 0.000 0.000 0.000
Ta 0.000 2.259 0.000
Ta 2.259 0.000 0.000
```

An optimized crystal structure of CaMnTeI2, computed with GGA-PBEsol. Values from VASP.

Properties
Energy relative to the elements, uncorrected (eV/atom): -0.4449
Space group: P4/mmm

The structure in Quantum ESPRESSO input format:
```
&SYSTEM
  ibrav = 0, nat = 5, ntyp = 4
/
ATOMIC_SPECIES
I 126.90 I.upf
Ca 40.08 Ca.upf
Te 127.60 Te.upf
Mn 54.94 Mn.upf
CELL_PARAMETERS angstrom
5.401 0.000 0.000
0.000 5.401 0.000
0.000 0.000 5.521
ATOMIC_POSITIONS angstrom
I 0.000 2.701 0.000
I 2.701 0.000 0.000
Ca 2.701 2.701 2.760
Te 0.000 0.000 2.760
Mn 0.000 0.000 0.000
```

An optimized crystal structure of CaPI2N, computed with GGA-PBEsol. Values from VASP.

Properties
Energy relative to the elements, uncorrected (eV/atom): 0.7762
Space group: P4/mmm

The structure in Quantum ESPRESSO input format:
```
&SYSTEM
  ibrav = 0, nat = 5, ntyp = 4
/
ATOMIC_SPECIES
I 126.90 I.upf
P 30.97 P.upf
Ca 40.08 Ca.upf
N 14.01 N.upf
CELL_PARAMETERS angstrom
-2.853 -2.138 -2.849
3.450 -4.922 0.239
-3.185 -2.004 4.693
ATOMIC_POSITIONS angstrom
I -1.592 -1.002 2.347
I 1.725 -2.461 0.120
P -1.294 -4.532 1.042
Ca 0.000 0.000 0.000
N -1.427 -1.069 -1.424
```

An optimized crystal structure of CaPbI2N, computed with GGA-PBEsol. Values from VASP.

Properties
Energy relative to the elements, uncorrected (eV/atom): 0.0755
Space group: P4/mmm

The structure in Quantum ESPRESSO input format:
```
&SYSTEM
  ibrav = 0, nat = 5, ntyp = 4
/
ATOMIC_SPECIES
Pb 207.20 Pb.upf
I 126.90 I.upf
Ca 40.08 Ca.upf
N 14.01 N.upf
CELL_PARAMETERS angstrom
4.374 0.000 0.000
0.000 5.996 0.000
0.000 0.000 5.996
ATOMIC_POSITIONS angstrom
Pb 2.187 2.998 2.998
I 0.000 0.000 2.998
I 0.000 2.998 0.000
Ca 0.000 0.000 0.000
N 2.187 0.000 0.000
```

An optimized crystal structure of CaPtIN2, computed with GGA-PBEsol. Values from VASP.

Properties
Energy relative to the elements, uncorrected (eV/atom): 0.6091
Space group: P4/mmm

The structure in Quantum ESPRESSO input format:
```
&SYSTEM
  ibrav = 0, nat = 5, ntyp = 4
/
ATOMIC_SPECIES
I 126.90 I.upf
Ca 40.08 Ca.upf
Pt 195.08 Pt.upf
N 14.01 N.upf
CELL_PARAMETERS angstrom
-2.636 1.351 -2.591
-1.282 -3.671 -0.610
-4.393 0.728 4.851
ATOMIC_POSITIONS angstrom
I -2.197 0.364 2.425
Ca -4.156 -0.796 0.825
Pt 0.000 0.000 0.000
N -0.641 -1.835 -0.305
N -1.318 0.676 -1.295
```

An optimized crystal structure of CaRuI2N, computed with GGA-PBEsol. Values from VASP.

Properties
Energy relative to the elements, uncorrected (eV/atom): -0.2976
Space group: P4/mmm

The structure in Quantum ESPRESSO input format:
```
&SYSTEM
  ibrav = 0, nat = 5, ntyp = 4
/
ATOMIC_SPECIES
I 126.90 I.upf
Ru 101.07 Ru.upf
Ca 40.08 Ca.upf
N 14.01 N.upf
CELL_PARAMETERS angstrom
-1.665 -3.316 -0.415
2.969 -2.023 4.252
-4.001 1.566 3.539
ATOMIC_POSITIONS angstrom
I -2.001 0.783 1.769
I 1.484 -1.011 2.126
Ru 0.000 0.000 0.000
Ca -1.349 -1.886 3.688
N -0.832 -1.658 -0.207
```

An optimized crystal structure of CaSIN2, computed with GGA-PBEsol. Values from VASP.

Properties
Energy relative to the elements, uncorrected (eV/atom): 0.6416
Space group: P4/mmm

The structure in Quantum ESPRESSO input format:
```
&SYSTEM
  ibrav = 0, nat = 5, ntyp = 4
/
ATOMIC_SPECIES
I 126.90 I.upf
Ca 40.08 Ca.upf
S 32.06 S.upf
N 14.01 N.upf
CELL_PARAMETERS angstrom
-1.209 -2.073 3.273
3.776 0.139 1.482
-1.119 4.492 2.431
ATOMIC_POSITIONS angstrom
I 0.000 0.000 0.000
Ca 0.724 1.279 3.593
S -0.560 2.246 1.215
N 1.888 0.069 0.741
N -0.605 -1.036 1.637
```